Entry 1:
Mg14BiMo after structural relaxation, computed with PBE.

Cell lengths 6.3481, 6.3481, 10.1984 Å; angles 90.00, 90.00, 120.00 degrees
Space group P-6m2 (No. 187)
Symmetry-distinct sites (fractional):
Mg (0.0000, 0.0000, 0.2468) x2
Mg (0.0085, 0.5042, 0.2645) x6
Mg (0.3300, 0.1650, 0.5000) x3
Mg (0.3357, 0.1678, 0.0000) x3
Bi (0.3333, 0.6667, 0.0000) x1
Mo (0.3333, 0.6667, 0.5000) x1

Calculated values
- formation energy (eV/f.u.) = 1.17
- E above lowest polymorph (kJ per mole of atoms) = 0.00
- VASP energy (eV per cell) = -35.87



Entry 2:
LiAg2HgF4 after structural relaxation, computed with PBE.

Cell lengths 7.459, 7.598, 4.502 Å; angles 90.00, 90.00, 90.00 degrees
Space group Pmn2_1 (No. 31)
Symmetry-distinct sites (fractional):
Li (0.000, 0.233, 0.000) x2
Ag (0.192, 0.687, 0.032) x4
Hg (0.000, 0.865, 0.543) x2
F (0.000, 0.195, 0.560) x2
F (0.000, 0.982, 0.052) x2
F (0.209, 0.370, 0.036) x4

Calculated values
- ΔE_f (raw) (eV/f.u.) = -11.5
- VASP energy (eV per cell) = -53.75



Entry 3:
Pr4Tl2Ag after structural relaxation, computed with PBE.

Cell lengths 5.4457, 5.4457, 26.4690 Å; angles 90.00, 90.00, 120.00 degrees
Space group R-3m (No. 166, hexagonal axes)
Symmetry-distinct sites (fractional):
Pr (0.0000, 0.0000, 0.1242) x6
Pr (0.0000, 0.0000, 0.3748) x6
Tl (0.0000, 0.0000, 0.2510) x6
Ag (0.0000, 0.0000, 0.5000) x3

Calculated values
- formation energy (eV/f.u.) = -1.44
- E above lowest polymorph (kJ per mole of atoms) = 0.00
- VASP energy (eV per cell) = -84.43



Entry 4:
Ca2HfPt after structural relaxation, computed with PBE.

Cell lengths 7.287, 7.287, 7.287 Å; angles 90.00, 90.00, 90.00 degrees
Space group Fm-3m (No. 225)
Symmetry-distinct sites (fractional):
Ca (0.250, 0.250, 0.250) x8
Hf (0.000, 0.000, 0.000) x4
Pt (0.000, 0.000, 0.500) x4

Calculated values
- formation energy (eV/f.u.) = 0.94
- E above lowest polymorph (kJ per mole of atoms) = 23.86
- VASP energy (eV per cell) = -76.21